[1]
VASP calculation (GGA-PBE) on crystalline Sr2FeCuI at its relaxed geometry.

E_form (uncorrected) ... 151 kJ/mol of formula units
Volume ... 32.02 A^3/atom

a = 5.7724 Å, b = 5.7724 Å, c = 4.8053 Å
α = 90.00°, β = 90.00°, γ = 90.00°
Closest atoms and distances in Å follow each position.
Space group P4/mmm (No. 123)
One atom of each set of equivalent atoms:
1 Sr 0.0000 0.5000 0.0000 x2  2 Fe 2.89
2 Fe 0.0000 0.0000 0.0000 x1  2 I 2.40
3 Cu 0.5000 0.5000 0.5000 x1  8 Sr 3.76, 4 I 4.08
4 I 0.0000 0.0000 0.5000 x1  2 Fe 2.40

***

[2]
VASP calculation (GGA-PBE) on crystalline FeCuTe2I at its relaxed geometry.

Distance to the lowest polymorph of the same formula ... 68 kJ/mol of formula units
E_form (uncorrected) ... 410 kJ/mol of formula units
Volume ... 28.35 A^3/atom

a = 5.1739 Å, b = 5.1739 Å, c = 5.2953 Å
α = 90.00°, β = 90.00°, γ = 90.00°
Closest atoms and distances in Å follow each position.
Space group P4/mmm (No. 123)
One atom of each set of equivalent atoms:
1 Fe 0.0000 0.0000 0.0000 x1  4 I 3.66, 8 Te 3.70
2 Cu 0.5000 0.5000 0.5000 x1  4 Te 2.59, 2 I 2.65
3 Te 0.0000 0.5000 0.5000 x2  2 Cu 2.59
4 I 0.5000 0.5000 0.0000 x1  2 Cu 2.65

***

[3]
VASP calculation (GGA-PBE) on crystalline FeCuTeI2 at its relaxed geometry.

Distance to the lowest polymorph of the same formula ... 0 kJ/mol of formula units
E_form (uncorrected) ... 340 kJ/mol of formula units
Volume ... 28.59 A^3/atom

a = 5.4987 Å, b = 5.4987 Å, c = 4.7270 Å
α = 90.00°, β = 90.00°, γ = 90.00°
Closest atoms and distances in Å follow each position.
Space group P4/mmm (No. 123)
One atom of each set of equivalent atoms:
1 Fe 0.0000 0.0000 0.0000 x1  2 Te 2.36
2 Cu 0.5000 0.5000 0.5000 x1  8 I 3.63, 4 Te 3.89
3 Te 0.0000 0.0000 0.5000 x1  2 Fe 2.36
4 I 0.0000 0.5000 0.0000 x2  2 Fe 2.75

***

| no. | total DFT energy (no corrections) (eV per atom) |
| --- | --- |
| 1 | -3.18 |
| 2 | -3.23 |
| 3 | -3.06 |